The following is a GGA+U calculation of an optimized crystal structure of NaYCr2O8, from the Alexandria database.

Results
For the total energy, the calculation gives -169.485 eV/cell.

a b c (Å): 7.2712 7.2712 6.2493
angles (deg): 90.00 90.00 90.00
Closest atoms and distances in Å follow each position.
Space group I-4m2 (No. 119)
Asymmetric unit:
1 Na 0.0000 0.0000 0.0000 (multiplicity 2)  8 O 2.40-2.55
2 Y 0.0000 0.5000 0.7500 (multiplicity 2)  8 O 2.36-2.44
3 Cr 0.0000 0.0000 0.5000 (multiplicity 2)  4 O 1.67
4 Cr 0.0000 0.5000 0.2500 (multiplicity 2)  4 O 1.67
5 O 0.0000 0.1863 0.6552 (multiplicity 8)  1 Cr 1.67
6 O 0.0000 0.3227 0.0812 (multiplicity 8)  1 Cr 1.67